# PBE LiSbMo2, relaxed
# * E_tot: -6.536 eV per atom
# * Fermi-level density of states: 7.72 states/eV per cell
data_LiSbMo2
_chemical_formula_sum 'Li2 Sb2 Mo4'
_space_group_name_H-M_alt 'C 1 2/m 1'
_space_group_IT_number 12
_cell_length_a 5.4369
_cell_length_b 9.1553
_cell_length_c 2.8589
_cell_angle_alpha 90.00
_cell_angle_beta 109.40
_cell_angle_gamma 90.00
loop_
_space_group_symop_operation_xyz
'x,y,z'
'-x,-y,-z'
'-x,y,-z'
'x,-y,z'
'x+1/2,y+1/2,z'
'-x+1/2,-y+1/2,-z'
'-x+1/2,y+1/2,-z'
'x+1/2,-y+1/2,z'
loop_
_atom_site_label
_atom_site_fract_x
_atom_site_fract_y
_atom_site_fract_z
Li1 0.0000 0.0000 0.0000
Sb1 0.0000 0.5000 0.0000
Mo1 0.2500 0.2500 0.5000

---

# PBE Re3RuN, relaxed
# * energy relative to the lowest polymorph listed for this composition: 0.000 eV per atom
# * Fermi-level density of states: 4.18 states/eV per cell
data_Re3RuN
_chemical_formula_sum 'Re3 Ru1 N1'
_space_group_name_H-M_alt 'P m -3 m'
_space_group_IT_number 221
_space_group_name_Hall '-P 4 2 3'
_cell_length_a 4.0435
_cell_length_b 4.0435
_cell_length_c 4.0435
_cell_angle_alpha 90.00
_cell_angle_beta 90.00
_cell_angle_gamma 90.00
loop_
_atom_site_label
_atom_site_fract_x
_atom_site_fract_y
_atom_site_fract_z
Re1 0.0000 0.0000 0.5000
Ru1 0.5000 0.5000 0.5000
N1 0.0000 0.0000 0.0000

---

# PBE PdSe2F, relaxed
# * energy relative to the lowest polymorph listed for this composition: 0.410 eV per atom
# * Fermi-level density of states: 9.84 states/eV per cell
data_PdSe2F
_chemical_formula_sum 'Pd3 Se6 F3'
_space_group_name_H-M_alt 'R -3 m'
_space_group_IT_number 166
_space_group_name_Hall '-R 3 2"'
_cell_length_a 2.8889
_cell_length_b 2.8889
_cell_length_c 27.0037
_cell_angle_alpha 90.00
_cell_angle_beta 90.00
_cell_angle_gamma 120.00
loop_
_atom_site_label
_atom_site_fract_x
_atom_site_fract_y
_atom_site_fract_z
Pd1 0.0000 0.0000 0.0000
Se1 0.0000 0.0000 0.0914
F1 0.0000 0.0000 0.5000

---

# PBE BaPaPdN3, relaxed
# * E_tot: -7.680 eV per atom
# * Fermi-level density of states: 0.64 states/eV per cell
data_BaPaPdN3
_chemical_formula_sum 'Ba2 Pa2 Pd2 N6'
_space_group_name_H-M_alt 'P 1 21/m 1'
_space_group_IT_number 11
_cell_length_a 7.3862
_cell_length_b 3.8653
_cell_length_c 9.1582
_cell_angle_alpha 90.00
_cell_angle_beta 111.72
_cell_angle_gamma 90.00
loop_
_space_group_symop_operation_xyz
'x,y,z'
'-x,-y,-z'
'-x,y+1/2,-z'
'x,-y+1/2,z'
loop_
_atom_site_label
_atom_site_fract_x
_atom_site_fract_y
_atom_site_fract_z
Ba1 0.2133 0.2500 0.1955
Pa1 0.3041 0.7500 0.8636
Pd1 0.0163 0.2500 0.6310
N1 0.0883 0.7500 0.6154
N2 0.1284 0.2500 0.8841
N3 0.4700 0.7500 0.1156

---

Q: Look up the Fermi-level density of states of the third one.
A: 9.84 states/eV per cell

---

Q: The lowest Fermi-level density of states belongs to which entry?
A: BaPaPdN3